This record from Alexandria via LeMat-Bulk describes a relaxed PmSi2Au crystal. The functional is PBE.

Calculated values
M_tot (μB per formula unit): 0.00
E above lowest polymorph (eV/atom): 0.471
Calculated volume (Å³/f.u.): 82.4
Raw formation energy (eV per atom): -0.140
Total energy (eV/cell): -58.3

a = 5.1509 Å, b = 5.1509 Å, c = 10.7534 Å
α = 90.00°, β = 90.00°, γ = 120.00°
Space group R-3m (No. 166, hexagonal axes)
One atom of each set of equivalent atoms:
Pm 0.0000 0.0000 0.0000 x3
Si 0.0000 0.0000 0.2695 x6
Au 0.0000 0.0000 0.5000 x3



This record from Alexandria via LeMat-Bulk describes a relaxed Pm3Si4Au crystal. The functional is PBE.

Calculated values
M_tot (μB per formula unit): 0.00
Calculated volume (Å³/f.u.): 177.3
Raw formation energy (eV per atom): -0.587
Total energy (eV/cell): -87.8

a = 19.3112 Å, b = 4.3464 Å, c = 4.2421 Å
α = 90.00°, β = 95.31°, γ = 90.00°
Space group C2/m (No. 12)
One atom of each set of equivalent atoms:
Pm 0.0000 0.0000 0.0000 x2
Pm 0.1605 0.0000 0.4742 x4
Si 0.1020 0.5000 0.9614 x4
Si 0.2231 0.5000 0.9940 x4
Au 0.0000 0.5000 0.5000 x2



This record from Alexandria via LeMat-Bulk describes a relaxed PmSi2Au crystal. The functional is PBE.

Calculated values
M_tot (μB per formula unit): 0.00
E above lowest polymorph (eV/atom): 0.259
Calculated volume (Å³/f.u.): 87.4
Raw formation energy (eV per atom): -0.351
Total energy (eV/cell): -40.6

a = 3.8664 Å, b = 5.9640 Å, c = 7.5796 Å
α = 90.00°, β = 90.00°, γ = 90.00°
Space group Amm2 (No. 38)
One atom of each set of equivalent atoms:
Pm 0.0000 0.0000 0.0000 x2
Si 0.5000 0.1905 0.7090 x4
Au 0.5000 0.0000 0.4134 x2



This record from Alexandria via LeMat-Bulk describes a relaxed Pm2Si2Au3 crystal. The functional is PBE.

Calculated values
M_tot (μB per formula unit): 0.00
Calculated volume (Å³/f.u.): 143.9
Raw formation energy (eV per atom): -0.650
Total energy (eV/cell): -69.5

a = 10.5407 Å, b = 4.1297 Å, c = 7.3030 Å
α = 90.00°, β = 115.10°, γ = 90.00°
Space group C2/m (No. 12)
One atom of each set of equivalent atoms:
Pm 0.1418 0.0000 0.2731 x4
Si 0.1434 0.0000 0.6997 x4
Au 0.0000 0.5000 0.5000 x2
Au 0.1227 0.5000 0.9427 x4



This record from Alexandria via LeMat-Bulk describes a relaxed PmSiAu2 crystal. The functional is PBE.

Calculated values
M_tot (μB per formula unit): 0.00
E above lowest polymorph (eV/atom): 0.028
Calculated volume (Å³/f.u.): 84.8
Raw formation energy (eV per atom): -0.641
Total energy (eV/cell): -38.6

a = 4.1465 Å, b = 4.3571 Å, c = 9.5917 Å
α = 90.00°, β = 101.95°, γ = 90.00°
Space group P2_1/m (No. 11)
One atom of each set of equivalent atoms:
Pm 0.1153 0.2500 0.2201 x2
Si 0.3240 0.2500 0.6548 x2
Au 0.2520 0.7500 0.5045 x2
Au 0.4498 0.2500 0.9127 x2



This record from Alexandria via LeMat-Bulk describes a relaxed PmSiAu4 crystal. The functional is PBE.

Calculated values
M_tot (μB per formula unit): 0.00
Calculated volume (Å³/f.u.): 120.1
Raw formation energy (eV per atom): -0.442
Total energy (eV/cell): -51.9

a = 7.7441 Å, b = 4.0371 Å, c = 7.6816 Å
α = 90.00°, β = 90.00°, γ = 90.00°
Space group Pmma (No. 51)
One atom of each set of equivalent atoms:
Pm 0.2500 0.0000 0.1009 x2
Si 0.2500 0.0000 0.7045 x2
Au 0.0000 0.0000 0.5000 x2
Au 0.0622 0.5000 0.8267 x4
Au 0.2500 0.5000 0.3999 x2



This record from Alexandria via LeMat-Bulk describes a relaxed Pm2Si3Au5 crystal. The functional is PBE.

Calculated values
M_tot (μB per formula unit): 0.00
E above lowest polymorph (eV/atom): 0.000
Calculated volume (Å³/f.u.): 200.0
Raw formation energy (eV per atom): -0.582
Total energy (eV/cell): -191.9

a = 10.2251 Å, b = 12.6424 Å, c = 6.1897 Å
α = 90.00°, β = 90.00°, γ = 90.00°
Space group Ibam (No. 72)
One atom of each set of equivalent atoms:
Pm 0.2437 0.1297 0.0000 x8
Si 0.0000 0.0000 0.2500 x4
Si 0.1358 0.3782 0.0000 x8
Au 0.0000 0.2661 0.2500 x8
Au 0.0000 0.5000 0.2500 x4
Au 0.1303 0.1123 0.5000 x8



This record from Alexandria via LeMat-Bulk describes a relaxed Pm3Si2Au3 crystal. The functional is PBE.

Calculated values
M_tot (μB per formula unit): 0.00
Calculated volume (Å³/f.u.): 179.7
Raw formation energy (eV per atom): -0.771
Total energy (eV/cell): -164.4

a = 4.3396 Å, b = 10.8442 Å, c = 15.2776 Å
α = 90.00°, β = 90.00°, γ = 90.00°
Space group Cmcm (No. 63)
One atom of each set of equivalent atoms:
Pm 0.0000 0.0847 0.1047 x8
Pm 0.0000 0.3722 0.2500 x4
Si 0.0000 0.2047 0.6074 x8
Au 0.0000 0.3454 0.7500 x4
Au 0.0000 0.3756 0.0408 x8



This record from Alexandria via LeMat-Bulk describes a relaxed Pm4Si2Au crystal. The functional is PBE.

Calculated values
M_tot (μB per formula unit): 0.00
Calculated volume (Å³/f.u.): 185.8
Raw formation energy (eV per atom): -0.630
Total energy (eV/cell): -150.2

a = 8.9991 Å, b = 9.0012 Å, c = 9.1741 Å
α = 90.00°, β = 90.00°, γ = 90.00°
Space group I2_12_12_1 (No. 24)
One atom of each set of equivalent atoms:
Pm 0.0718 0.0711 0.0607 x8
Pm 0.1789 0.3217 0.6895 x8
Si 0.1262 0.0000 0.7500 x4
Si 0.2500 0.3761 0.0000 x4
Au 0.0000 0.2500 0.3753 x4



This record from Alexandria via LeMat-Bulk describes a relaxed Pm2Si7Au12 crystal. The functional is PBE.

Calculated values
M_tot (μB per formula unit): 0.00
Calculated volume (Å³/f.u.): 391.0
Raw formation energy (eV per atom): -0.253
Total energy (eV/cell): -92.1

a = 10.1213 Å, b = 10.1213 Å, c = 4.4068 Å
α = 90.00°, β = 90.00°, γ = 120.00°
Space group P-3 (No. 147)
One atom of each set of equivalent atoms:
Pm 0.3333 0.6667 0.2584 x2
Si 0.0000 0.0000 0.0000 x1
Si 0.1133 0.3968 0.7798 x6
Au 0.0702 0.6137 0.7460 x6
Au 0.1240 0.8594 0.2850 x6



This record from Alexandria via LeMat-Bulk describes a relaxed Pm7Si2Au2 crystal. The functional is PBE.

Calculated values
M_tot (μB per formula unit): 0.00
Calculated volume (Å³/f.u.): 318.2
Raw formation energy (eV per atom): -0.262
Total energy (eV/cell): -107.1

a = 7.8482 Å, b = 11.0417 Å, c = 7.3446 Å
α = 90.00°, β = 90.00°, γ = 90.00°
Space group Cmmm (No. 65)
One atom of each set of equivalent atoms:
Pm 0.0000 0.0000 0.0000 x2
Pm 0.0000 0.5000 0.2651 x4
Pm 0.2500 0.2500 0.2889 x8
Si 0.1590 0.0000 0.5000 x4
Au 0.0000 0.2852 0.0000 x4



This record from Alexandria via LeMat-Bulk describes a relaxed PmSiAu3 crystal. The functional is PBE.

Calculated values
M_tot (μB per formula unit): 0.00
E above lowest polymorph (eV/atom): 0.233
Calculated volume (Å³/f.u.): 112.4
Raw formation energy (eV per atom): -0.339
Total energy (eV/cell): -21.7

a = 4.8265 Å, b = 4.8265 Å, c = 4.8265 Å
α = 90.00°, β = 90.00°, γ = 90.00°
Space group Pm-3m (No. 221)
One atom of each set of equivalent atoms:
Pm 0.0000 0.0000 0.0000 x1
Si 0.5000 0.5000 0.5000 x1
Au 0.0000 0.5000 0.5000 x3



This record from Alexandria via LeMat-Bulk describes a relaxed PmSiAu2 crystal. The functional is PBE.

Calculated values
M_tot (μB per formula unit): 0.00
E above lowest polymorph (eV/atom): 0.229
Calculated volume (Å³/f.u.): 83.4
Raw formation energy (eV per atom): -0.440
Total energy (eV/cell): -74.0

a = 6.9342 Å, b = 6.9342 Å, c = 6.9342 Å
α = 90.00°, β = 90.00°, γ = 90.00°
Space group Fm-3m (No. 225)
One atom of each set of equivalent atoms:
Pm 0.0000 0.0000 0.0000 x4
Si 0.0000 0.0000 0.5000 x4
Au 0.2500 0.2500 0.2500 x8



This record from Alexandria via LeMat-Bulk describes a relaxed Pm12Si5Au2 crystal. The functional is PBE.

Calculated values
M_tot (μB per formula unit): 0.00
Calculated volume (Å³/f.u.): 570.5
Raw formation energy (eV per atom): -0.394
Total energy (eV/cell): -196.3

a = 16.7858 Å, b = 7.3728 Å, c = 9.4127 Å
α = 90.00°, β = 101.63°, γ = 90.00°
Space group C2/m (No. 12)
One atom of each set of equivalent atoms:
Pm 0.0119 0.0000 0.2941 x4
Pm 0.0283 0.5000 0.8158 x4
Pm 0.1494 0.2562 0.5667 x8
Pm 0.1763 0.2442 0.1078 x8
Si 0.0000 0.5000 0.5000 x2
Si 0.1733 0.0000 0.8278 x4
Si 0.2010 0.0000 0.3606 x4
Au 0.0000 0.1905 0.0000 x4



This record from Alexandria via LeMat-Bulk describes a relaxed PmSiAu5 crystal. The functional is PBE.

Calculated values
M_tot (μB per formula unit): 0.00
Calculated volume (Å³/f.u.): 142.2
Raw formation energy (eV per atom): -0.289
Total energy (eV/cell): -28.6

a = 4.4323 Å, b = 4.4323 Å, c = 7.2382 Å
α = 90.00°, β = 90.00°, γ = 90.00°
Space group P4/mmm (No. 123)
One atom of each set of equivalent atoms:
Pm 0.0000 0.0000 0.0000 x1
Si 0.0000 0.0000 0.5000 x1
Au 0.0000 0.5000 0.3020 x4
Au 0.5000 0.5000 0.0000 x1



This record from Alexandria via LeMat-Bulk describes a relaxed PmSiAu2 crystal. The functional is PBE.

Calculated values
M_tot (μB per formula unit): 0.00
E above lowest polymorph (eV/atom): 0.000
Calculated volume (Å³/f.u.): 83.5
Raw formation energy (eV per atom): -0.669
Total energy (eV/cell): -155.2

a = 4.3950 Å, b = 16.8212 Å, c = 9.0376 Å
α = 90.00°, β = 90.00°, γ = 90.00°
Space group Cmcm (No. 63)
One atom of each set of equivalent atoms:
Pm 0.0000 0.0000 0.0000 x4
Pm 0.0000 0.2090 0.2500 x4
Si 0.0000 0.3543 0.5193 x8
Au 0.0000 0.1870 0.5893 x8
Au 0.0000 0.4064 0.2500 x4
Au 0.0000 0.4320 0.7500 x4



This record from Alexandria via LeMat-Bulk describes a relaxed Pm3Si2Au crystal. The functional is PBE.

Calculated values
M_tot (μB per formula unit): 0.00
Calculated volume (Å³/f.u.): 163.3
Raw formation energy (eV per atom): -0.603
Total energy (eV/cell): -192.0

a = 8.0380 Å, b = 8.0380 Å, c = 17.5062 Å
α = 90.00°, β = 90.00°, γ = 120.00°
Space group R-3c (No. 167, hexagonal axes)
One atom of each set of equivalent atoms:
Pm 0.0000 0.2948 0.2500 x18
Si 0.0000 0.0000 0.1432 x12
Au 0.0000 0.0000 0.0000 x6



This record from Alexandria via LeMat-Bulk describes a relaxed PmSiAu2 crystal. The functional is PBE.

Calculated values
M_tot (μB per formula unit): 0.00
E above lowest polymorph (eV/atom): 0.343
Calculated volume (Å³/f.u.): 85.8
Raw formation energy (eV per atom): -0.326
Total energy (eV/cell): -18.0

a = 3.7531 Å, b = 3.7531 Å, c = 6.0881 Å
α = 90.00°, β = 90.00°, γ = 90.00°
Space group P4/mmm (No. 123)
One atom of each set of equivalent atoms:
Pm 0.0000 0.0000 0.0000 x1
Si 0.0000 0.0000 0.5000 x1
Au 0.5000 0.5000 0.2647 x2



This record from Alexandria via LeMat-Bulk describes a relaxed Pm2Si3Au2 crystal. The functional is PBE.

Calculated values
M_tot (μB per formula unit): 0.00
E above lowest polymorph (eV/atom): 0.000
Calculated volume (Å³/f.u.): 141.2
Raw formation energy (eV per atom): -0.698
Total energy (eV/cell): -148.8

a = 4.3982 Å, b = 18.3562 Å, c = 6.9979 Å
α = 90.00°, β = 90.00°, γ = 90.00°
Space group Cmcm (No. 63)
One atom of each set of equivalent atoms:
Pm 0.0000 0.0513 0.2500 x4
Pm 0.0000 0.1535 0.7500 x4
Si 0.0000 0.2230 0.2500 x4
Si 0.0000 0.4438 0.0781 x8
Au 0.0000 0.3157 0.5503 x8



This record from Alexandria via LeMat-Bulk describes a relaxed Pm2SiAu2 crystal. The functional is PBE.

Calculated values
M_tot (μB per formula unit): 0.00
Calculated volume (Å³/f.u.): 116.7
Raw formation energy (eV per atom): -0.769
Total energy (eV/cell): -101.3

a = 10.8343 Å, b = 4.3124 Å, c = 11.2149 Å
α = 90.00°, β = 117.05°, γ = 90.00°
Space group C2/m (No. 12)
One atom of each set of equivalent atoms:
Pm 0.0118 0.0000 0.3429 x4
Pm 0.1906 0.0000 0.1105 x4
Si 0.2166 0.5000 0.3335 x4
Au 0.0271 0.5000 0.8824 x4
Au 0.1535 0.5000 0.5651 x4